1.
Crystalline Ac6ErCd5 at its relaxed geometry. Source: Alexandria via LeMat-Bulk, functional PBE.

Results
Space-group type = P2/m
Energy relative to the elements = -0.207 eV/atom
VASP energy = -0.111 hartree per atom

Unit cell a=5.749 b=8.235 c=9.194 alpha=90.00 beta=108.24 gamma=90.00
Atoms (fractional coordinates):
Ac (0.000, 0.236, 0.000)
Ac (0.000, 0.764, 0.000)
Ac (0.331, 0.250, 0.660)
Ac (0.331, 0.750, 0.660)
Ac (0.669, 0.250, 0.340)
Ac (0.669, 0.750, 0.340)
Er (0.500, 0.500, 0.000)
Cd (0.154, 0.500, 0.310)
Cd (0.165, 0.000, 0.334)
Cd (0.500, 0.000, 0.000)
Cd (0.835, 0.000, 0.666)
Cd (0.846, 0.500, 0.690)

=====

2.
Crystalline LiSmEr2Rh4 at its relaxed geometry. Source: Alexandria via LeMat-Bulk, functional PBE.

Results
Space-group type = R-3m
Energy relative to the elements = -0.699 eV/atom
VASP energy = -0.233 hartree per atom

Unit cell a=8.219 b=8.219 c=8.219 alpha=33.23 beta=33.23 gamma=33.23
Atoms (fractional coordinates):
Li (0.000, 0.000, 0.000)
Sm (0.500, 0.500, 0.500)
Er (0.259, 0.259, 0.259)
Er (0.741, 0.741, 0.741)
Rh (0.122, 0.122, 0.122)
Rh (0.376, 0.376, 0.376)
Rh (0.624, 0.624, 0.624)
Rh (0.878, 0.878, 0.878)

=====

3.
Crystalline CeEr5Al4 at its relaxed geometry. Source: Alexandria via LeMat-Bulk, functional PBE.

Results
Space-group type = P4/mmm
Energy relative to the elements = -0.302 eV/atom
VASP energy = -0.172 hartree per atom

Unit cell a=3.400 b=3.400 c=20.845 alpha=90.00 beta=90.00 gamma=90.00
Atoms (fractional coordinates):
Ce (0.000, 0.000, 0.000)
Er (0.500, 0.500, 0.122)
Er (0.500, 0.500, 0.311)
Er (0.500, 0.500, 0.500)
Er (0.500, 0.500, 0.689)
Er (0.500, 0.500, 0.878)
Al (0.000, 0.000, 0.216)
Al (0.000, 0.000, 0.405)
Al (0.000, 0.000, 0.595)
Al (0.000, 0.000, 0.784)

=====

4.
Crystalline YNp2O7 at its relaxed geometry. Source: Alexandria via LeMat-Bulk, functional PBE.

Results
Space-group type = R-3m
VASP energy = -0.356 hartree per atom
Uncorrected formation energy = -2.99 eV per atom

Unit cell a=10.431 b=10.431 c=10.431 alpha=21.06 beta=21.06 gamma=21.06
Atoms (fractional coordinates):
Y (0.000, 0.000, 0.000)
Np (0.433, 0.433, 0.433)
Np (0.567, 0.567, 0.567)
O (0.078, 0.078, 0.078)
O (0.220, 0.220, 0.220)
O (0.362, 0.362, 0.362)
O (0.500, 0.500, 0.500)
O (0.638, 0.638, 0.638)
O (0.780, 0.780, 0.780)
O (0.922, 0.922, 0.922)

=====

5.
Crystalline Pm2ScTi at its relaxed geometry. Source: Alexandria via LeMat-Bulk, functional PBE.

Results
Space-group type = R-3m
Distance to the lowest polymorph of the same formula = 22.3 kJ/mol of atoms
Energy relative to the elements = 0.441 eV/atom
VASP energy = -0.202 hartree per atom

Unit cell a=3.306 b=3.306 c=34.630 alpha=90.00 beta=90.00 gamma=120.00
Atoms (fractional coordinates):
Pm (0.000, 0.000, 0.085)
Pm (0.000, 0.000, 0.915)
Pm (0.333, 0.667, 0.582)
Pm (0.333, 0.667, 0.752)
Pm (0.667, 0.333, 0.248)
Pm (0.667, 0.333, 0.418)
Sc (0.000, 0.000, 0.500)
Sc (0.333, 0.667, 0.167)
Sc (0.667, 0.333, 0.833)
Ti (0.000, 0.000, 0.000)
Ti (0.333, 0.667, 0.667)
Ti (0.667, 0.333, 0.333)

=====

6.
Crystalline Re2HgCl at its relaxed geometry. Source: Alexandria via LeMat-Bulk, functional PBE.

Results
Space-group type = Imm2
Distance to the lowest polymorph of the same formula = 73.0 kJ/mol of atoms
VASP energy = -0.214 hartree per atom
Uncorrected formation energy = 0.94 eV per atom

Unit cell a=3.345 b=4.812 c=11.076 alpha=90.00 beta=90.00 gamma=90.00
Atoms (fractional coordinates):
Re (0.000, 0.000, 0.000)
Re (0.000, 0.500, 0.355)
Re (0.500, 0.000, 0.855)
Re (0.500, 0.500, 0.500)
Hg (0.000, 0.000, 0.495)
Hg (0.500, 0.500, 0.995)
Cl (0.000, 0.500, 0.711)
Cl (0.500, 0.000, 0.211)